[1]
This record from OQMD via LeMat-Bulk describes a geometry-optimized Hf3CuBr structure. The functional is PBE-GGA.

The total energy comes out at -6.7001 eV/atom. The calculated volume is 597 Å³ per cell.

The structure belongs to space group R-3c (No. 167, hexagonal axes); the cell edges are 8.2801, 8.2801 and 10.0533 Å and the angles 90.00°, 90.00° and 120.00°. The distinct sites, in fractional coordinates, are Hf at (0.0000, 0.3414, 0.2500), Cu at (0.0000, 0.0000, 0.2500) and Br at (0.0000, 0.0000, 0.0000).

***

[2]
This record from OQMD via LeMat-Bulk describes a geometry-optimized Cu2HgI2Br2 structure. The functional is PBE-GGA.

The total energy comes out at -2.3027 eV/atom. The calculated volume is 442 Å³ per cell. For the energy relative to the lowest polymorph listed for this composition, the calculation gives 5.1 meV/atom.

The structure belongs to space group Cmm2 (No. 35); the cell edges are 8.365, 8.545 and 6.186 Å and the angles 90.00°, 90.00° and 90.00°. The distinct sites, in fractional coordinates, are Cu at (0.250, 0.250, 0.000), Hg at (0.000, 0.000, 0.484), I at (0.230, 0.500, 0.762) and Br at (0.000, 0.258, 0.221).

***

[3]
This record from OQMD via LeMat-Bulk describes a geometry-optimized Cu2HgI2Br2 structure. The functional is PBE-GGA.

The total energy comes out at -2.3079 eV/atom. The calculated volume is 437 Å³ per cell. For the energy relative to the lowest polymorph listed for this composition, the calculation gives 0.0 meV/atom.

The structure belongs to space group C2 (No. 5); the cell edges are 13.649, 5.930 and 5.940 Å and the angles 90.00°, 114.55° and 90.00°. The distinct sites, in fractional coordinates, are Cu at (0.250, 0.000, 0.239), Hg at (0.000, 0.493, 0.000), I at (0.130, 0.771, 0.406) and Br at (0.138, 0.233, 0.875).

***

[4]
This record from OQMD via LeMat-Bulk describes a geometry-optimized Cu2HgI2Br2 structure. The functional is PBE-GGA.

The total energy comes out at -2.3074 eV/atom. The calculated volume is 221 Å³ per cell. For the energy relative to the lowest polymorph listed for this composition, the calculation gives 0.4 meV/atom.

The structure belongs to space group P2 (No. 3); the cell edges are 5.964, 5.891 and 6.298 Å and the angles 90.00°, 92.34° and 90.00°. The distinct sites, in fractional coordinates, are Cu at (0.000, 0.000, 0.000), Cu at (0.500, 0.481, 0.000), Hg at (0.500, 0.990, 0.500), I at (0.226, 0.727, 0.763) and Br at (0.246, 0.256, 0.219).

***

[5]
This record from OQMD via LeMat-Bulk describes a geometry-optimized Cu2HgI2Br2 structure. The functional is PBE-GGA.

The total energy comes out at -2.3049 eV/atom. The calculated volume is 893 Å³ per cell. For the energy relative to the lowest polymorph listed for this composition, the calculation gives 2.9 meV/atom.

The structure belongs to space group Fmm2 (No. 42); the cell edges are 8.435, 8.527 and 12.413 Å and the angles 90.00°, 90.00° and 90.00°. The distinct sites, in fractional coordinates, are Cu at (0.250, 0.250, 0.000), Hg at (0.000, 0.000, 0.244), I at (0.228, 0.000, 0.879) and Br at (0.000, 0.241, 0.609).

***

[6]
This record from OQMD via LeMat-Bulk describes a geometry-optimized Cu2HgI3Br structure. The functional is PBE-GGA.

The total energy comes out at -2.2585 eV/atom. The calculated volume is 460 Å³ per cell. For the energy relative to the lowest polymorph listed for this composition, the calculation gives 0.0 meV/atom.

The structure belongs to space group Cm (No. 8); the cell edges are 8.573, 8.525 and 7.552 Å and the angles 90.00°, 123.49° and 90.00°. The distinct sites, in fractional coordinates, are Cu at (0.000, 0.245, 0.000), Hg at (0.499, 0.500, 0.495), I at (0.098, 0.500, 0.234), I at (0.135, 0.270, 0.764) and Br at (0.117, 0.000, 0.215).

***

[7]
This record from OQMD via LeMat-Bulk describes a geometry-optimized Tl2CuHgBr6 structure. The functional is PBE-GGA.

The total energy comes out at -2.3749 eV/atom. The calculated volume is 1229 Å³ per cell.

The structure belongs to space group Fm-3m (No. 225); the cell edges are 10.711, 10.711 and 10.711 Å and the angles 90.00°, 90.00° and 90.00°. The distinct sites, in fractional coordinates, are Tl at (0.250, 0.250, 0.250), Cu at (0.000, 0.000, 0.000), Hg at (0.000, 0.000, 0.500) and Br at (0.000, 0.000, 0.240).

***

[8]
This record from OQMD via LeMat-Bulk describes a geometry-optimized ZrCuHg2Br6 structure. The functional is PBE-GGA.

The total energy comes out at -2.9054 eV/atom. The calculated volume is 1202 Å³ per cell.

The structure belongs to space group Fm-3m (No. 225); the cell edges are 10.632, 10.632 and 10.632 Å and the angles 90.00°, 90.00° and 90.00°. The distinct sites, in fractional coordinates, are Zr at (0.000, 0.000, 0.000), Cu at (0.000, 0.000, 0.500), Hg at (0.250, 0.250, 0.250) and Br at (0.000, 0.000, 0.249).

***

[9]
This record from OQMD via LeMat-Bulk describes a geometry-optimized Cu2IBr3 structure. The functional is PBE-GGA.

The total energy comes out at -2.5665 eV/atom. The calculated volume is 169 Å³ per cell.

The structure belongs to space group Pm (No. 6); the cell edges are 7.026, 3.570 and 7.542 Å and the angles 90.00°, 116.66° and 90.00°. The distinct sites, in fractional coordinates, are Cu at (0.000, 0.000, 0.000), Cu at (0.488, 0.500, 0.500), I at (0.750, 0.000, 0.492), Br at (0.238, 0.500, 0.001), Br at (0.259, 0.000, 0.506) and Br at (0.764, 0.500, 0.004).

***

[10]
This record from OQMD via LeMat-Bulk describes a geometry-optimized InCuI3Br structure. The functional is PBE-GGA.

The total energy comes out at -2.5864 eV/atom. The calculated volume is 239 Å³ per cell.

The structure belongs to space group P1 (No. 1); the cell edges are 6.344, 6.413 and 7.323 Å and the angles 115.64°, 114.27° and 90.15°. The distinct sites, in fractional coordinates, are In at (0.000, 0.000, 0.000), Cu at (0.755, 0.252, 0.495), I at (0.120, 0.607, 0.732), I at (0.391, 0.380, 0.267), I at (0.620, 0.120, 0.729) and Br at (0.881, 0.908, 0.262).

***

[11]
This record from OQMD via LeMat-Bulk describes a geometry-optimized InCuI2Br2 structure. The functional is PBE-GGA.

The total energy comes out at -2.6651 eV/atom. The calculated volume is 228 Å³ per cell.

The structure belongs to space group P1 (No. 1); the cell edges are 6.272, 6.286 and 7.136 Å and the angles 114.64°, 114.05° and 90.39°. The distinct sites, in fractional coordinates, are In at (0.000, 0.000, 0.000), Cu at (0.247, 0.759, 0.500), I at (0.381, 0.392, 0.268), I at (0.608, 0.120, 0.731), Br at (0.116, 0.642, 0.736) and Br at (0.899, 0.877, 0.264).

***

[12]
This record from OQMD via LeMat-Bulk describes a geometry-optimized InCuIBr3 structure. The functional is PBE-GGA.

The total energy comes out at -2.7432 eV/atom. The calculated volume is 214 Å³ per cell.

The structure belongs to space group P1 (No. 1); the cell edges are 6.102, 6.175 and 7.054 Å and the angles 65.77°, 64.58° and 89.81°. The distinct sites, in fractional coordinates, are In at (0.000, 0.000, 0.000), Cu at (0.255, 0.756, 0.497), I at (0.394, 0.392, 0.731), Br at (0.117, 0.638, 0.263), Br at (0.613, 0.103, 0.265) and Br at (0.893, 0.878, 0.736).